## TbPr3Sm6Tm2 (PBE)

Data for TbPr3Sm6Tm2 after structural relaxation.

Output
total magnetic moment = 0.0 μB per cell
DOS(E_F) = 1.400 states/eV per atom
uncorrected energy = -4.666 eV/atom

The structure in CIF format:
```
data_TbPr3Sm6Tm2
_symmetry_space_group_name_H-M 'C 1 2/m 1'
_symmetry_Int_Tables_number 12
_cell_length_a 6.2767
_cell_length_b 10.8749
_cell_length_c 11.9950
_cell_angle_alpha 90.00
_cell_angle_beta 100.07
_cell_angle_gamma 90.00
loop_
_symmetry_equiv_pos_as_xyz
'x,y,z'
'-x,-y,-z'
'-x,y,-z'
'x,-y,z'
'x+1/2,y+1/2,z'
'-x+1/2,-y+1/2,-z'
'-x+1/2,y+1/2,-z'
'x+1/2,-y+1/2,z'
loop_
_atom_site_label
_atom_site_type_symbol
_atom_site_fract_x
_atom_site_fract_y
_atom_site_fract_z
_atom_site_occupancy
Tb1 Tb 0.0000 0.0000 0.0000 1
Pr1 Pr 0.0000 0.1668 0.5000 1
Pr2 Pr 0.0000 0.5000 0.5000 1
Sm1 Sm 0.2479 0.5000 0.2442 1
Sm2 Sm 0.2488 0.1670 0.2443 1
Tm1 Tm 0.0000 0.3333 0.0000 1
```